A plane-wave DFT calculation with GGA-PBE was carried out for a geometry-optimized LaBe3Sb structure.

Properties
Magnetic moment   0.00 μB/f.u.
Uncorrected formation energy   734 meV per atom

Lattice parameters (Å, degrees): 4.714 4.714 4.714 90.00 90.00 90.00
Fractional coordinates of all 5 atoms:
La 0.500 0.500 0.500
Be 0.000 0.000 0.500
Be 0.000 0.500 0.000
Be 0.500 0.000 0.000
Sb 0.000 0.000 0.000

=====

A plane-wave DFT calculation with GGA-PBE was carried out for a geometry-optimized TaRh2Br structure.

Properties
Magnetic moment   0.00 μB/f.u.
Uncorrected formation energy   381 meV per atom

Lattice parameters (Å, degrees): 4.855 4.855 2.958 90.00 90.00 108.44
Fractional coordinates of all 4 atoms:
Rh 0.000 0.000 0.000
Ta 0.500 0.000 0.500
Rh 0.500 0.500 0.000
Br 0.000 0.500 0.500

=====

A plane-wave DFT calculation with GGA-PBE was carried out for a geometry-optimized Ac5CoCu2N structure.

Properties
Magnetic moment   0.00 μB/f.u.
Uncorrected formation energy   -269 meV per atom

Lattice parameters (Å, degrees): 4.176 9.513 13.802 90.00 90.00 102.68
Fractional coordinates of all 18 atoms:
Cu 0.110 0.221 0.684
Ac 0.688 0.377 0.883
Cu 0.131 0.261 0.325
Ac 0.644 0.288 0.510
Cu 0.890 0.779 0.184
Ac 0.046 0.091 0.019
Ac 0.356 0.712 0.010
N 0.444 0.889 0.426
Co 0.208 0.416 0.029
Ac 0.312 0.623 0.383
N 0.556 0.111 0.926
Ac 0.495 0.991 0.776
Cu 0.869 0.739 0.825
Ac 0.285 0.570 0.671
Ac 0.954 0.909 0.519
Ac 0.505 0.009 0.276
Co 0.792 0.584 0.529
Ac 0.715 0.430 0.171

=====

A plane-wave DFT calculation with GGA-PBE was carried out for a geometry-optimized La4PrNi structure.

Properties
ΔH_f (0 K)   -0.014 eV per atom
Magnetic moment   0.00 μB/f.u.

Lattice parameters (Å, degrees): 6.026 6.806 9.553 90.00 101.07 90.00
Fractional coordinates of all 12 atoms:
La 0.581 0.750 0.850
La 0.834 0.250 0.945
Pr 0.505 0.250 0.560
La 0.940 0.010 0.317
Pr 0.495 0.750 0.440
La 0.940 0.490 0.317
La 0.060 0.510 0.683
Ni 0.326 0.250 0.867
La 0.060 0.990 0.683
La 0.166 0.750 0.055
La 0.419 0.250 0.150
Ni 0.674 0.750 0.133

=====

A plane-wave DFT calculation with GGA-PBE was carried out for a geometry-optimized Ta2Pd9Pt structure.

Properties
ΔH_f (0 K)   -0.360 eV per atom
Magnetic moment   0.00 μB/f.u.

Lattice parameters (Å, degrees): 3.965 3.965 11.914 90.00 90.00 90.00
Fractional coordinates of all 12 atoms:
Pd 0.500 0.000 0.174
Pd 0.500 0.000 0.826
Ta 0.000 0.000 0.675
Ta 0.000 0.000 0.325
Pd 0.000 0.500 0.500
Pd 0.500 0.500 0.338
Pd 0.500 0.000 0.500
Pd 0.000 0.500 0.174
Pd 0.000 0.500 0.826
Pd 0.500 0.500 0.000
Pt 0.000 0.000 0.000
Pd 0.500 0.500 0.662

=====

A plane-wave DFT calculation with GGA-PBE was carried out for a geometry-optimized Nd4TeAu structure.

Properties
Magnetic moment   0.00 μB/f.u.
Uncorrected formation energy   -733 meV per atom

Lattice parameters (Å, degrees): 4.073 8.693 20.377 90.00 90.00 90.00
Fractional coordinates of all 24 atoms:
Te 0.750 0.718 0.812
Nd 0.250 0.659 0.153
Te 0.250 0.282 0.188
Nd 0.250 0.159 0.347
Nd 0.750 0.989 0.222
Nd 0.750 0.341 0.847
Au 0.250 0.245 0.951
Te 0.750 0.218 0.688
Nd 0.750 0.489 0.278
Nd 0.250 0.011 0.778
Nd 0.750 0.478 0.573
Au 0.750 0.255 0.451
Nd 0.750 0.873 0.440
Nd 0.750 0.373 0.060
Nd 0.250 0.511 0.722
Nd 0.250 0.022 0.073
Au 0.250 0.745 0.549
Nd 0.250 0.627 0.940
Nd 0.750 0.841 0.653
Te 0.250 0.782 0.312
Nd 0.250 0.522 0.427
Nd 0.750 0.978 0.927
Nd 0.250 0.127 0.560
Au 0.750 0.755 0.049

=====

A plane-wave DFT calculation with GGA-PBE was carried out for a geometry-optimized Tb2YN structure.

Properties
Magnetic moment   0.84 μB/f.u.
Uncorrected formation energy   -659 meV per atom

Lattice parameters (Å, degrees): 3.481 3.481 9.664 79.62 79.62 60.00
Each line ends with the local moment (μB).
Fractional coordinates of all 4 atoms:
N 0.500 0.500 0.500  -0.01
Tb 0.880 0.880 0.359  0.15
Y 0.000 0.000 0.000  0.21
Tb 0.120 0.120 0.641  0.15

=====

A plane-wave DFT calculation with GGA-PBE was carried out for a geometry-optimized SrCaPm2Tl4 structure.

Properties
ΔH_f (0 K)   -0.369 eV per atom
Magnetic moment   0.00 μB/f.u.

Lattice parameters (Å, degrees): 5.557 5.557 9.666 73.30 73.30 60.00
Fractional coordinates of all 8 atoms:
Sr 0.000 0.000 0.000
Tl 0.874 0.874 0.379
Pm 0.248 0.248 0.257
Ca 0.500 0.500 0.500
Tl 0.126 0.126 0.621
Tl 0.377 0.377 0.870
Pm 0.752 0.752 0.743
Tl 0.623 0.623 0.130

=====

A plane-wave DFT calculation with GGA-PBE was carried out for a geometry-optimized PaReSiC structure.

Properties
Magnetic moment   0.00 μB/f.u.
Uncorrected formation energy   -322 meV per atom

Lattice parameters (Å, degrees): 3.838 3.838 8.626 90.00 90.00 90.00
Fractional coordinates of all 8 atoms:
C 0.000 0.500 0.110
Re 0.000 0.000 0.500
Si 0.500 0.000 0.676
Si 0.000 0.500 0.324
Pa 0.000 0.500 0.844
Pa 0.500 0.000 0.156
Re 0.500 0.500 0.500
C 0.500 0.000 0.890

=====

A plane-wave DFT calculation with GGA-PBE was carried out for a geometry-optimized SrCo3Os structure.

Properties
ΔH_f (0 K)   0.825 eV per atom
Magnetic moment   3.22 μB/f.u.

Lattice parameters (Å, degrees): 4.602 4.602 4.602 90.00 90.00 90.00
Each line ends with the local moment (μB).
Fractional coordinates of all 5 atoms:
Co 0.000 0.500 0.000  1.08
Os 0.000 0.000 0.000  0.10
Co 0.500 0.000 0.000  0.84
Sr 0.500 0.500 0.500  -0.03
Co 0.000 0.000 0.500  1.29

=====

A plane-wave DFT calculation with GGA-PBE was carried out for a geometry-optimized AlReO4 structure.

Properties
Magnetic moment   1.73 μB/f.u.
Uncorrected formation energy   -2034 meV per atom

Lattice parameters (Å, degrees): 5.435 5.435 5.435 107.70 107.70 113.08
Each line ends with the local moment (μB).
Fractional coordinates of all 12 atoms:
Re 0.494 0.994 0.500  1.39
Al 0.256 0.256 0.000  0.02
O 0.756 0.062 0.306  0.02
Al 0.006 0.506 0.500  0.02
Re 0.744 0.744 0.000  1.39
O 0.692 0.494 0.198  0.06
O 0.244 0.942 0.698  0.06
O 0.244 0.546 0.302  0.06
O 0.200 0.006 0.194  0.02
O 0.812 0.006 0.806  0.02
O 0.296 0.494 0.802  0.06
O 0.756 0.450 0.694  0.02

=====

A plane-wave DFT calculation with GGA-PBE was carried out for a geometry-optimized Sc2NbTlS structure.

Properties
Magnetic moment   4.15 μB/f.u.
Uncorrected formation energy   1252 meV per atom

Lattice parameters (Å, degrees): 5.374 5.158 5.374 90.00 90.00 90.00
Each line ends with the local moment (μB).
Fractional coordinates of all 5 atoms:
Sc 0.000 0.000 0.500  0.21
S 0.000 0.500 0.000  -0.02
Nb 0.500 0.500 0.500  2.61
Sc 0.500 0.000 0.000  0.17
Tl 0.000 0.000 0.000  -0.01

=====

A plane-wave DFT calculation with GGA-PBE was carried out for a geometry-optimized TeIN structure.

Properties
Magnetic moment   0.00 μB/f.u.
Uncorrected formation energy   186 meV per atom

Lattice parameters (Å, degrees): 3.596 11.031 13.084 105.97 90.00 90.00
Fractional coordinates of all 12 atoms:
N 0.016 0.462 0.021
N 0.516 0.038 0.979
N 0.484 0.962 0.021
I 0.499 0.891 0.646
Te 0.501 0.328 0.296
Te 0.001 0.172 0.704
Te 0.999 0.828 0.296
I 0.999 0.609 0.354
I 0.001 0.391 0.646
Te 0.499 0.672 0.704
I 0.501 0.109 0.354
N 0.984 0.538 0.979

=====

A plane-wave DFT calculation with GGA-PBE was carried out for a geometry-optimized BaHS structure.

Properties
Magnetic moment   0.00 μB/f.u.
Total DFT energy (no corrections)   -4.39 eV/atom

Lattice parameters (Å, degrees): 3.996 4.467 7.763 90.00 90.00 90.00
Fractional coordinates of all 6 atoms:
H 0.403 0.500 0.595
S 0.000 0.000 0.759
Ba 0.500 0.500 0.932
Ba 0.500 0.000 0.416
H 0.597 0.500 0.595
S 0.000 0.500 0.258

=====

A plane-wave DFT calculation with GGA-PBE was carried out for a geometry-optimized Ca2TiRuF structure.

Properties
Magnetic moment   0.00 μB/f.u.
Uncorrected formation energy   -283 meV per atom

Lattice parameters (Å, degrees): 5.731 4.440 5.731 90.00 90.00 90.00
Fractional coordinates of all 5 atoms:
Ca 0.500 0.000 0.000
Ru 0.000 0.000 0.000
Ti 0.000 0.500 0.000
F 0.500 0.500 0.500
Ca 0.000 0.000 0.500

=====

A plane-wave DFT calculation with GGA-PBE was carried out for a geometry-optimized Y4ZnHg3 structure.

Properties
ΔH_f (0 K)   -0.471 eV per atom
Magnetic moment   0.00 μB/f.u.

Lattice parameters (Å, degrees): 3.676 3.676 14.890 90.00 90.00 90.00
Fractional coordinates of all 8 atoms:
Y 0.000 0.000 0.884
Hg 0.500 0.500 0.500
Hg 0.500 0.500 0.756
Hg 0.500 0.500 0.244
Y 0.000 0.000 0.628
Zn 0.500 0.500 0.000
Y 0.000 0.000 0.116
Y 0.000 0.000 0.372

=====

A plane-wave DFT calculation with GGA-PBE was carried out for a geometry-optimized ReWCCl2 structure.

Properties
Magnetic moment   4.97 μB/f.u.
Uncorrected formation energy   1855 meV per atom

Lattice parameters (Å, degrees): 4.933 3.889 4.933 90.00 90.00 90.00
Each line ends with the local moment (μB).
Fractional coordinates of all 5 atoms:
W 0.500 0.500 0.500  3.32
Re 0.000 0.000 0.000  0.56
Cl 0.000 0.000 0.500  0.02
C 0.000 0.500 0.000  -0.09
Cl 0.500 0.000 0.000  0.01

=====

A plane-wave DFT calculation with GGA-PBE was carried out for a geometry-optimized ZrMn2Te structure.

Properties
Magnetic moment   0.00 μB/f.u.
Uncorrected formation energy   163 meV per atom

Lattice parameters (Å, degrees): 3.228 3.228 6.136 90.00 90.00 90.00
Fractional coordinates of all 4 atoms:
Zr 0.500 0.500 0.750
Mn 0.000 0.000 0.490
Te 0.500 0.500 0.250
Mn 0.000 0.000 0.010

=====

A plane-wave DFT calculation with GGA-PBE was carried out for a geometry-optimized Mn2CoAs structure.

Properties
ΔH_f (0 K)   0.006 eV per atom
Magnetic moment   7.71 μB/f.u.

Lattice parameters (Å, degrees): 3.165 3.165 6.172 59.16 90.00 90.00
Each line ends with the local moment (μB).
Fractional coordinates of all 4 atoms:
Mn 0.000 0.498 0.502  3.04
As 0.500 0.250 0.250  -0.11
Mn 0.000 0.002 0.998  3.04
Co 0.500 0.750 0.750  1.63

=====

A plane-wave DFT calculation with GGA-PBE was carried out for a geometry-optimized HfMnI2N structure.

Properties
Magnetic moment   5.58 μB/f.u.
Uncorrected formation energy   146 meV per atom

Lattice parameters (Å, degrees): 5.942 5.942 3.984 90.00 90.00 90.00
Each line ends with the local moment (μB).
Fractional coordinates of all 5 atoms:
Hf 0.000 0.000 0.000  0.02
I 0.500 0.000 0.000  0.06
N 0.000 0.000 0.500  0.01
Mn 0.500 0.500 0.500  4.64
I 0.000 0.500 0.000  0.06

=====

A plane-wave DFT calculation with GGA-PBE was carried out for a geometry-optimized BaGe2Cl structure.

Properties
Magnetic moment   0.00 μB/f.u.
Uncorrected formation energy   50 meV per atom

Lattice parameters (Å, degrees): 5.405 5.405 5.405 60.00 60.00 60.00
Fractional coordinates of all 4 atoms:
Cl 0.000 0.000 0.000
Ba 0.500 0.500 0.500
Ge 0.250 0.250 0.250
Ge 0.750 0.750 0.750

=====

A plane-wave DFT calculation with GGA-PBE was carried out for a geometry-optimized KInIr2 structure.

Properties
ΔH_f (0 K)   0.844 eV per atom
Magnetic moment   0.00 μB/f.u.

Lattice parameters (Å, degrees): 5.140 5.140 5.140 130.83 130.83 72.08
Fractional coordinates of all 4 atoms:
In 0.750 0.250 0.500
Ir 0.000 0.000 0.000
Ir 0.500 0.500 0.000
K 0.250 0.750 0.500